[1]
CsMg2Ga | GGA-PBE | optimized geometry

## Properties
D(E_F) in states/eV per atom: 0.055
ΔH_f (0 K) in meV per atom: 176

a = 6.7353 Å, b = 6.7353 Å, c = 9.2196 Å
α = 68.58°, β = 68.58°, γ = 90.00°
Last column: nearest neighbours and their distance in Å.
Sites, in units of the cell vectors:
Cs (0.0000, 0.0000, 0.0000)  8 Mg 4.25-4.26
Cs (0.7500, 0.2500, 0.5000)  8 Mg 4.25-4.26
Mg (0.3761, 0.1250, 0.2500)  2 Ga 2.59
Mg (0.3739, 0.6250, 0.2500)  2 Ga 2.59
Mg (0.3750, 0.6239, 0.7500)  2 Ga 2.59
Mg (0.8750, 0.6261, 0.7500)  2 Ga 2.59
Ga (0.5000, 0.5000, 0.0000)  4 Mg 2.59
Ga (0.2500, 0.7500, 0.5000)  4 Mg 2.59

***

[2]
Cs2MgGa | GGA-PBE | optimized geometry

## Properties
D(E_F) in states/eV per atom: 1.310
Polymorph energy (0 for the lowest one) in meV/atom: 182
ΔH_f (0 K) in meV per atom: 353

a = 6.5228 Å, b = 6.5228 Å, c = 6.5228 Å
α = 60.00°, β = 60.00°, γ = 60.00°
Last column: nearest neighbours and their distance in Å.
Sites, in units of the cell vectors:
Cs (0.2500, 0.2500, 0.2500)  4 Mg 3.99, 4 Ga 3.99
Cs (0.7500, 0.7500, 0.7500)  4 Ga 3.99, 4 Mg 3.99
Mg (0.0000, 0.0000, 0.0000)  8 Cs 3.99
Ga (0.5000, 0.5000, 0.5000)  8 Cs 3.99

***

[3]
Cs3MgGa | GGA-PBE | optimized geometry

## Properties
D(E_F) in states/eV per atom: 0.603
Polymorph energy (0 for the lowest one) in meV/atom: 0
ΔH_f (0 K) in meV per atom: 339

a = 7.2036 Å, b = 7.2036 Å, c = 7.2036 Å
α = 90.00°, β = 90.00°, γ = 90.00°
Last column: nearest neighbours and their distance in Å.
Sites, in units of the cell vectors:
Cs (0.0000, 0.5000, 0.0000)  2 Ga 3.60
Cs (0.0000, 0.0000, 0.5000)  2 Ga 3.60
Cs (0.5000, 0.0000, 0.0000)  2 Ga 3.60
Mg (0.5000, 0.5000, 0.5000)  12 Cs 5.09
Ga (0.0000, 0.0000, 0.0000)  6 Cs 3.60

***

[4]
CsMgGa2N | GGA-PBE | optimized geometry

## Properties
E_form (uncorrected) in kJ/mol of formula units: 563
D(E_F) in states/eV per atom: 0.781

a = 5.1079 Å, b = 7.5355 Å, c = 5.1079 Å
α = 90.00°, β = 90.00°, γ = 90.00°
Last column: nearest neighbours and their distance in Å.
Sites, in units of the cell vectors:
Cs (0.0000, 0.5000, 0.0000)  4 N 3.61, 2 Mg 3.77
Mg (0.0000, 0.0000, 0.0000)  4 Ga 2.55
Ga (0.0000, 0.0000, 0.5000)  2 Mg 2.55
Ga (0.5000, 0.0000, 0.0000)  2 Mg 2.55
N (0.5000, 0.5000, 0.5000)  4 Cs 3.61

***

[5]
CsNaMg2Ga | GGA-PBE | optimized geometry

## Properties
D(E_F) in states/eV per atom: 0.527
ΔH_f (0 K) in meV per atom: 93

a = 5.4371 Å, b = 5.4371 Å, c = 6.0396 Å
α = 90.00°, β = 90.00°, γ = 90.00°
Last column: nearest neighbours and their distance in Å.
Sites, in units of the cell vectors:
Cs (0.5000, 0.5000, 0.5000)  4 Na 3.84, 8 Mg 4.06
Na (0.0000, 0.0000, 0.5000)  2 Ga 3.02
Mg (0.0000, 0.5000, 0.0000)  2 Ga 2.72
Mg (0.5000, 0.0000, 0.0000)  2 Ga 2.72
Ga (0.0000, 0.0000, 0.0000)  4 Mg 2.72, 2 Na 3.02

***

[6]
CsNa2MgGa | GGA-PBE | optimized geometry

## Properties
D(E_F) in states/eV per atom: 0.322
ΔH_f (0 K) in meV per atom: 46

a = 6.0264 Å, b = 6.0264 Å, c = 5.2887 Å
α = 90.00°, β = 90.00°, γ = 90.00°
Last column: nearest neighbours and their distance in Å.
Sites, in units of the cell vectors:
Cs (0.5000, 0.5000, 0.5000)  8 Na 4.01, 4 Mg 4.26
Na (0.0000, 0.5000, 0.0000)  2 Ga 3.01
Na (0.5000, 0.0000, 0.0000)  2 Ga 3.01
Mg (0.0000, 0.0000, 0.5000)  2 Ga 2.64
Ga (0.0000, 0.0000, 0.0000)  2 Mg 2.64